[1]
Below is a geometry-optimized TlRuAu2 structure, with properties calculated at the PBE-GGA level.

Lattice parameters (Å, degrees): 6.6519 6.6519 6.6519 90.00 90.00 90.00
With the nearest neighbours (Å) after each atom.
Space group Fm-3m (No. 225)
One atom of each set of equivalent atoms:
Tl1 0.0000 0.0000 0.0000  8 Au 2.88
Ru1 0.0000 0.0000 0.5000  8 Au 2.88
Au1 0.2500 0.2500 0.2500  4 Tl 2.88, 4 Ru 2.88

Properties
For the energy of formation from the pure elements, the calculation gives 0.525 eV per atom. The total energy is -64.4 eV/cell. As for the crystal system: cubic. The energy relative to the lowest polymorph listed for this composition comes out at 0.81 eV/f.u. The size of the total moment is 0.46 μB per formula unit.


[2]
Below is a geometry-optimized TlRuAu2 structure, with properties calculated at the PBE-GGA level.

Lattice parameters (Å, degrees): 9.3971 3.0738 5.2551 90.00 101.41 90.00
With the nearest neighbours (Å) after each atom.
Space group Cm (No. 8)
One atom of each set of equivalent atoms:
Tl1 0.0000 0.0000 0.0000  3 Ru 2.83-2.85, 7 Au 2.97-3.12, 2 Tl 3.07
Ru1 0.2515 0.0000 0.7783  3 Tl 2.83-2.85, 7 Au 2.84-3.10, 2 Ru 3.07
Au1 0.0124 0.5000 0.5196  5 Au 2.82-3.07, 3 Ru 2.84-3.03, 4 Tl 2.98-3.12
Au2 0.2610 0.5000 0.2941  5 Au 2.82-3.07, 3 Tl 2.97-3.04, 4 Ru 2.99-3.10

Properties
For the energy of formation from the pure elements, the calculation gives 0.407 eV per atom. The total energy is -33.1 eV/cell. As for the crystal system: monoclinic. The energy relative to the lowest polymorph listed for this composition comes out at 0.33 eV/f.u. The size of the total moment is 0.94 μB per formula unit.